(1)
# K4BaTl

Crystalline K4BaTl at its relaxed geometry (PBE, Alexandria).

a b c (Å): 7.887 7.887 7.887
angles (deg): 60.00 60.00 60.00
Element x y z (fractional)
K1 0.124 0.124 0.124
K2 0.124 0.124 0.629
K3 0.124 0.629 0.124
K4 0.629 0.124 0.124
Ba1 0.500 0.500 0.500
Tl1 0.750 0.750 0.750

Computed properties:
As for the spin magnetization: 0.000 μB/cell. As for the total energy: -1.272 eV per atom. Its space group is F-43m. The value obtained for the density of states at the Fermi level is 6.5 states/eV/cell.


(2)
# K2Ba2Tl15

Crystalline K2Ba2Tl15 at its relaxed geometry (PBE, Alexandria).

a b c (Å): 8.708 8.708 8.708
angles (deg): 83.11 83.11 83.11
Element x y z (fractional)
K1 0.103 0.103 0.103
K2 0.897 0.897 0.897
Ba1 0.357 0.357 0.357
Ba2 0.643 0.643 0.643
Tl1 0.000 0.000 0.500
Tl2 0.000 0.302 0.698
Tl3 0.000 0.500 0.000
Tl4 0.000 0.698 0.302
Tl5 0.158 0.641 0.641
Tl6 0.302 0.000 0.698
Tl7 0.302 0.698 0.000
Tl8 0.359 0.359 0.842
Tl9 0.359 0.842 0.359
Tl10 0.500 0.000 0.000
Tl11 0.641 0.158 0.641
Tl12 0.641 0.641 0.158
Tl13 0.698 0.000 0.302
Tl14 0.698 0.302 0.000
Tl15 0.842 0.359 0.359

Computed properties:
As for the spin magnetization: 0.000 μB/cell. As for the total energy: -2.293 eV per atom. Its space group is R-3m. The value obtained for the density of states at the Fermi level is 10.7 states/eV/cell.


(3)
# K2BaTl

Crystalline K2BaTl at its relaxed geometry (PBE, Alexandria).

a b c (Å): 4.360 4.429 11.250
angles (deg): 90.00 90.04 90.00
Element x y z (fractional)
K1 0.000 0.000 0.000
K2 0.497 0.500 0.675
Ba1 0.496 0.500 0.313
Tl1 0.996 0.000 0.471

Computed properties:
As for the spin magnetization: 0.000 μB/cell. As for the total energy: -1.735 eV per atom. Its space group is Pm. The value obtained for the density of states at the Fermi level is 3.7 states/eV/cell.


- Which formula does entry 1 have?
  K4BaTl


- Which formula does entry 3 have?
  K2BaTl